No. 1
# TiZn11Cu | the Alexandria database | PBE | relaxed
# Fermi-level density of states (states/eV/cell): 6.59
# E_form (eV per atom): -0.053
# Volume (Å³ per atom): 14.78
data_TiZn11Cu
_symmetry_space_group_name_H-M 'C 1 2/m 1'
_symmetry_Int_Tables_number 12
_cell_length_a 5.1364
_cell_length_b 12.2399
_cell_length_c 6.6289
_cell_angle_alpha 90.00
_cell_angle_beta 112.79
_cell_angle_gamma 90.00
loop_
_symmetry_equiv_pos_as_xyz
'x,y,z'
'-x,-y,-z'
'-x,y,-z'
'x,-y,z'
'x+1/2,y+1/2,z'
'-x+1/2,-y+1/2,-z'
'-x+1/2,y+1/2,-z'
'x+1/2,-y+1/2,z'
loop_
_atom_site_label
_atom_site_fract_x
_atom_site_fract_y
_atom_site_fract_z
_atom_site_occupancy
Ti1 0.0000 0.0000 0.0000 1
Zn1 0.0000 0.0000 0.5000 1
Zn2 0.1013 0.3952 0.2128 1
Zn3 0.1828 0.1716 0.3503 1
Zn4 0.2500 0.2500 0.0000 1
Cu1 0.0000 0.5000 0.5000 1


No. 2
# Ti6ZnCu | the Alexandria database | PBE | relaxed
# Energy above the most stable polymorph in this dataset (meV per atom): 0
# Fermi-level density of states (states/eV/cell): 12.64
# E_form (eV per atom): -0.044
# Volume (Å³ per atom): 15.97
data_Ti6ZnCu
_symmetry_space_group_name_H-M 'P 4/m m m'
_symmetry_Int_Tables_number 123
_symmetry_space_group_name_Hall '-P 4 2'
_cell_length_a 3.9971
_cell_length_b 3.9971
_cell_length_c 7.9979
_cell_angle_alpha 90.00
_cell_angle_beta 90.00
_cell_angle_gamma 90.00
loop_
_atom_site_label
_atom_site_fract_x
_atom_site_fract_y
_atom_site_fract_z
_atom_site_occupancy
Ti1 0.0000 0.0000 0.0000 1
Ti2 0.0000 0.0000 0.5000 1
Ti3 0.0000 0.5000 0.2471 1
Zn1 0.5000 0.5000 0.5000 1
Cu1 0.5000 0.5000 0.0000 1


No. 3
# Ti4Zn7Cu | the Alexandria database | PBE | relaxed
# Fermi-level density of states (states/eV/cell): 9.72
# E_form (eV per atom): -0.041
# Volume (Å³ per atom): 15.62
data_Ti4Zn7Cu
_symmetry_space_group_name_H-M 'P -1'
_symmetry_Int_Tables_number 2
_cell_length_a 4.5431
_cell_length_b 5.7146
_cell_length_c 7.7625
_cell_angle_alpha 68.43
_cell_angle_beta 89.27
_cell_angle_gamma 90.00
loop_
_symmetry_equiv_pos_as_xyz
'x,y,z'
'-x,-y,-z'
loop_
_atom_site_label
_atom_site_fract_x
_atom_site_fract_y
_atom_site_fract_z
_atom_site_occupancy
Ti1 0.2458 0.3799 0.2162 1
Ti2 0.2464 0.9040 0.2162 1
Zn1 0.2478 0.9663 0.5700 1
Zn2 0.2515 0.3151 0.8696 1
Zn3 0.2507 0.7953 0.9093 1
Zn4 0.5000 0.5000 0.5000 1
Cu1 0.0000 0.5000 0.5000 1


No. 4
# Ti3ZnCu | the Alexandria database | PBE | relaxed
# Energy above the most stable polymorph in this dataset (meV per atom): 0
# Fermi-level density of states (states/eV/cell): 12.46
# E_form (eV per atom): 0.270
# Volume (Å³ per atom): 17.13
data_Ti3ZnCu
_symmetry_space_group_name_H-M 'P 63/m m c'
_symmetry_Int_Tables_number 194
_symmetry_space_group_name_Hall '-P 6c 2c'
_cell_length_a 6.5790
_cell_length_b 6.5790
_cell_length_c 4.5698
_cell_angle_alpha 90.00
_cell_angle_beta 90.00
_cell_angle_gamma 120.00
loop_
_atom_site_label
_atom_site_fract_x
_atom_site_fract_y
_atom_site_fract_z
_atom_site_occupancy
Ti1 0.1963 0.3927 0.2500 1
Zn1 0.3333 0.6667 0.7500 1
Cu1 0.0000 0.0000 0.0000 1


No. 5
# TiZn4Cu | the Alexandria database | PBE | relaxed
# Energy above the most stable polymorph in this dataset (meV per atom): 134
# Fermi-level density of states (states/eV/cell): 16.39
# E_form (eV per atom): 0.091
# Volume (Å³ per atom): 16.29
data_TiZn4Cu
_symmetry_space_group_name_H-M 'I 4/m c m'
_symmetry_Int_Tables_number 140
_symmetry_space_group_name_Hall '-I 4 2c'
_cell_length_a 5.9996
_cell_length_b 5.9996
_cell_length_c 10.8604
_cell_angle_alpha 90.00
_cell_angle_beta 90.00
_cell_angle_gamma 90.00
loop_
_atom_site_label
_atom_site_fract_x
_atom_site_fract_y
_atom_site_fract_z
_atom_site_occupancy
Ti1 0.0000 0.0000 0.0000 1
Zn1 0.1666 0.3334 0.1377 1
Cu1 0.0000 0.0000 0.2500 1


No. 6
# Ti2Zn5Cu2 | the Alexandria database | PBE | relaxed
# Fermi-level density of states (states/eV/cell): 25.92
# E_form (eV per atom): 0.026
# Volume (Å³ per atom): 15.39
data_Ti2Zn5Cu2
_symmetry_space_group_name_H-M 'I m m a'
_symmetry_Int_Tables_number 74
_symmetry_space_group_name_Hall '-I 2b 2'
_cell_length_a 8.3179
_cell_length_b 15.3991
_cell_length_c 4.3249
_cell_angle_alpha 90.00
_cell_angle_beta 90.00
_cell_angle_gamma 90.00
loop_
_atom_site_label
_atom_site_fract_x
_atom_site_fract_y
_atom_site_fract_z
_atom_site_occupancy
Ti1 0.2500 0.1405 0.2500 1
Zn1 0.0000 0.1485 0.7382 1
Zn2 0.0000 0.2500 0.2466 1
Zn3 0.2500 0.0425 0.7500 1
Cu1 0.0000 0.0000 0.0000 1
Cu2 0.2500 0.2500 0.7500 1


No. 7
# Ti2Zn3Cu2 | the Alexandria database | PBE | relaxed
# Energy above the most stable polymorph in this dataset (meV per atom): 0
# Fermi-level density of states (states/eV/cell): 26.14
# E_form (eV per atom): -0.066
# Volume (Å³ per atom): 14.67
data_Ti2Zn3Cu2
_symmetry_space_group_name_H-M 'C m c m'
_symmetry_Int_Tables_number 63
_symmetry_space_group_name_Hall '-C 2c 2'
_cell_length_a 4.1521
_cell_length_b 17.9780
_cell_length_c 5.5018
_cell_angle_alpha 90.00
_cell_angle_beta 90.00
_cell_angle_gamma 90.00
loop_
_atom_site_label
_atom_site_fract_x
_atom_site_fract_y
_atom_site_fract_z
_atom_site_occupancy
Ti1 0.0000 0.0100 0.2500 1
Ti2 0.0000 0.1496 0.7500 1
Zn1 0.0000 0.1641 0.2500 1
Zn2 0.0000 0.4260 0.0109 1
Cu1 0.0000 0.2868 0.0032 1


No. 8
# Ti3Zn7Cu | the Alexandria database | PBE | relaxed
# Fermi-level density of states (states/eV/cell): 29.09
# E_form (eV per atom): -0.002
# Volume (Å³ per atom): 15.42
data_Ti3Zn7Cu
_symmetry_space_group_name_H-M 'C m c m'
_symmetry_Int_Tables_number 63
_symmetry_space_group_name_Hall '-C 2c 2'
_cell_length_a 2.6549
_cell_length_b 19.2026
_cell_length_c 13.3054
_cell_angle_alpha 90.00
_cell_angle_beta 90.00
_cell_angle_gamma 90.00
loop_
_atom_site_label
_atom_site_fract_x
_atom_site_fract_y
_atom_site_fract_z
_atom_site_occupancy
Ti1 0.0000 0.1218 0.0493 1
Ti2 0.0000 0.2688 0.7500 1
Zn1 0.0000 0.2604 0.0775 1
Zn2 0.0000 0.3720 0.1548 1
Zn3 0.0000 0.4097 0.7500 1
Zn4 0.0000 0.4965 0.0917 1
Cu1 0.0000 0.0326 0.7500 1


No. 9
# Ti2Zn4Cu3 | the Alexandria database | PBE | relaxed
# Fermi-level density of states (states/eV/cell): 21.54
# E_form (eV per atom): -0.055
# Volume (Å³ per atom): 14.71
data_Ti2Zn4Cu3
_symmetry_space_group_name_H-M 'C m c e'
_symmetry_Int_Tables_number 64
_symmetry_space_group_name_Hall '-C 2ac 2'
_cell_length_a 5.0645
_cell_length_b 14.4737
_cell_length_c 7.2247
_cell_angle_alpha 90.00
_cell_angle_beta 90.00
_cell_angle_gamma 90.00
loop_
_atom_site_label
_atom_site_fract_x
_atom_site_fract_y
_atom_site_fract_z
_atom_site_occupancy
Ti1 0.0000 0.0905 0.1239 1
Zn1 0.0000 0.1720 0.4880 1
Zn2 0.2500 0.0741 0.7500 1
Cu1 0.0000 0.0000 0.5000 1
Cu2 0.2500 0.2473 0.7500 1


No. 10
# TiZnCu4 | the Alexandria database | PBE | relaxed
# Fermi-level density of states (states/eV/cell): 2.48
# E_form (eV per atom): -0.073
# Volume (Å³ per atom): 13.08
data_TiZnCu4
_symmetry_space_group_name_H-M 'P m m m'
_symmetry_Int_Tables_number 47
_cell_length_a 2.6267
_cell_length_b 3.6713
_cell_length_c 8.1366
_cell_angle_alpha 90.00
_cell_angle_beta 90.00
_cell_angle_gamma 90.00
loop_
_symmetry_equiv_pos_as_xyz
'x,y,z'
'-x,-y,-z'
'-x,-y,z'
'x,y,-z'
'x,-y,-z'
'-x,y,z'
'-x,y,-z'
'x,-y,z'
loop_
_atom_site_label
_atom_site_fract_x
_atom_site_fract_y
_atom_site_fract_z
_atom_site_occupancy
Ti1 0.0000 0.0000 0.0000 1
Zn1 0.5000 0.5000 0.5000 1
Cu1 0.0000 0.0000 0.3330 1
Cu2 0.5000 0.5000 0.1759 1


Number 1: final energy -2.05 eV/atom. Number 2: final energy -6.64 eV/atom. Number 3: final energy -3.76 eV/atom. Number 4: final energy -5.54 eV/atom. Number 5: final energy -2.76 eV/atom. Number 6: final energy -3.35 eV/atom. Number 7: final energy -4.04 eV/atom. Number 8: final energy -3.34 eV/atom. Number 9: final energy -3.74 eV/atom. Number 10: final energy -4.33 eV/atom.